# AlGePO2 (GGA-PBE, relaxed)
# E_form (uncorrected) = -0.887 eV per atom
# Energy above the lowest structure with this stoichiometry = 0.000 eV/atom
# Energy = -5.6244 eV/atom
data_AlGePO2
_chemical_formula_sum 'Al1 Ge1 P1 O2'
_symmetry_space_group_name_H-M 'P 4/m m m'
_symmetry_Int_Tables_number 123
_symmetry_space_group_name_Hall '-P 4 2'
_cell_length_a 3.595
_cell_length_b 3.595
_cell_length_c 5.345
_cell_angle_alpha 90.00
_cell_angle_beta 90.00
_cell_angle_gamma 90.00
loop_
_atom_site_label
_atom_site_type_symbol
_atom_site_fract_x
_atom_site_fract_y
_atom_site_fract_z
Al1 Al 0.000 0.000 0.000
Ge1 Ge 0.500 0.500 0.500
P1 P 0.000 0.000 0.500
O1 O 0.000 0.500 0.000

# AlGePO2 (GGA-PBE, relaxed)
# E_form (uncorrected) = -0.511 eV per atom
# Energy above the lowest structure with this stoichiometry = 0.376 eV/atom
# Energy = -5.2485 eV/atom
data_AlGePO2
_chemical_formula_sum 'Al1 Ge1 P1 O2'
_symmetry_space_group_name_H-M 'P 4/m m m'
_symmetry_Int_Tables_number 123
_symmetry_space_group_name_Hall '-P 4 2'
_cell_length_a 3.648
_cell_length_b 3.648
_cell_length_c 5.191
_cell_angle_alpha 90.00
_cell_angle_beta 90.00
_cell_angle_gamma 90.00
loop_
_atom_site_label
_atom_site_type_symbol
_atom_site_fract_x
_atom_site_fract_y
_atom_site_fract_z
Al1 Al 0.000 0.000 0.000
Ge1 Ge 0.500 0.500 0.500
P1 P 0.500 0.500 0.000
O1 O 0.000 0.500 0.500